First-principles (PBE) data for an optimized crystal structure of La7Os4C9, as listed in OQMD via LeMat-Bulk.

Properties
Symmetry: C2/m (12)

Cell: 5.4242 6.5934 11.6480 Å, 92.29 103.46 114.29°
Positions (direct):
Os (0.5015, 0.1443, 0.8587)
Os (0.1376, 0.7036, 0.5716)
Os (0.8624, 0.2964, 0.4284)
Os (0.4985, 0.8557, 0.1413)
La (0.7834, 0.4098, 0.1570)
La (0.1744, 0.0274, 0.3214)
La (0.8256, 0.9726, 0.6786)
La (0.0000, 0.0000, 0.0000)
La (0.4809, 0.3441, 0.6177)
La (0.2166, 0.5902, 0.8430)
La (0.5191, 0.6559, 0.3823)
C (0.6596, 0.4639, 0.8553)
C (0.5000, 0.0000, 0.0000)
C (0.6750, 0.0593, 0.2906)
C (0.3250, 0.9407, 0.7094)
C (0.7429, 0.6653, 0.8204)
C (0.2571, 0.3347, 0.1796)
C (0.0053, 0.3976, 0.6129)
C (0.9947, 0.6024, 0.3871)
C (0.3404, 0.5361, 0.1447)

---

First-principles (PBE) data for an optimized crystal structure of La3Os2C10, as listed in OQMD via LeMat-Bulk.

Properties
Symmetry: C2/m (12)

Cell: 6.1291 6.1291 6.6503 Å, 108.57 108.57 100.93°
Site moments in Bohr magnetons follow the coordinates.
Positions (direct):
C (0.2260, 0.2260, 0.4500)  0.00
C (0.7740, 0.7740, 0.5500)  0.00
C (0.2709, 0.2709, 0.8780)  0.12
C (0.7353, 0.2809, 0.1037)  0.02
C (0.2647, 0.7191, 0.8963)  0.02
C (0.3525, 0.3525, 0.3759)  0.00
C (0.6475, 0.6475, 0.6241)  0.00
C (0.2809, 0.7353, 0.1037)  0.02
C (0.7191, 0.2647, 0.8963)  0.02
C (0.7291, 0.7291, 0.1220)  0.12
La (0.8017, 0.1983, 0.5000)  0.04
La (0.0000, 0.0000, 0.0000)  0.01
La (0.1983, 0.8017, 0.5000)  0.04
Os (0.4946, 0.4946, 0.1925)  -0.03
Os (0.5054, 0.5054, 0.8075)  -0.03

---

First-principles (PBE) data for an optimized crystal structure of LaSmOs4C4, as listed in OQMD via LeMat-Bulk.

Properties
Symmetry: F222 (22)

Cell: 6.7331 5.8286 5.6095 Å, 72.09 55.46 52.44°
Positions (direct):
Sm (0.2500, 0.2500, 0.2500)
Os (0.8860, 0.8860, 0.6140)
Os (0.3624, 0.3624, 0.6376)
Os (0.6376, 0.6376, 0.3624)
Os (0.6140, 0.6140, 0.8860)
C (0.3195, 0.6805, 0.3195)
C (0.6805, 0.3195, 0.6805)
C (0.9344, 0.5656, 0.9344)
C (0.5656, 0.9344, 0.5656)
La (0.0000, 0.0000, 0.0000)

---

First-principles (PBE) data for an optimized crystal structure of LaTm2PbC, as listed in OQMD via LeMat-Bulk.

Properties
Symmetry: P4/mmm (123)

Cell: 4.8807 4.8807 5.2139 Å, 90.00 90.00 90.00°
Positions (direct):
La (0.5000, 0.5000, 0.0000)
Pb (0.0000, 0.0000, 0.0000)
Tm (0.0000, 0.5000, 0.5000)
Tm (0.5000, 0.0000, 0.5000)
C (0.5000, 0.5000, 0.5000)

---

First-principles (PBE) data for an optimized crystal structure of LaPd3C, as listed in OQMD via LeMat-Bulk.

Properties
Symmetry: Pm-3m (221)

Cell: 4.3806 4.3806 4.3806 Å, 90.00 90.00 90.00°
Positions (direct):
La (0.0000, 0.0000, 0.0000)
Pd (0.0000, 0.5000, 0.5000)
Pd (0.5000, 0.0000, 0.5000)
Pd (0.5000, 0.5000, 0.0000)
C (0.5000, 0.5000, 0.5000)

---

First-principles (PBE) data for an optimized crystal structure of LaPr2Ta2C6, as listed in OQMD via LeMat-Bulk.

Properties
Symmetry: I4/mmm (139)

Cell: 11.2918 11.2918 11.2918 Å, 159.15 159.15 29.65°
Positions (direct):
Pr (0.1873, 0.1873, 0.0000)
Pr (0.8127, 0.8127, 0.0000)
C (0.3037, 0.3037, 0.0000)
C (0.0807, 0.5807, 0.5000)
C (0.5807, 0.0807, 0.5000)
C (0.4193, 0.9193, 0.5000)
C (0.9193, 0.4193, 0.5000)
C (0.6963, 0.6963, 0.0000)
Ta (0.6034, 0.6034, 0.0000)
Ta (0.3966, 0.3966, 0.0000)
La (0.0000, 0.0000, 0.0000)

---

First-principles (PBE) data for an optimized crystal structure of LaPrW2C3, as listed in OQMD via LeMat-Bulk.

Properties
Symmetry: Cm (8)

Cell: 6.4530 6.4530 5.9824 Å, 115.21 115.21 30.87°
Positions (direct):
Pr (0.6066, 0.6066, 0.8096)
W (0.1587, 0.1587, 0.3203)
W (0.8403, 0.8403, 0.6783)
C (0.7461, 0.7461, 0.2763)
C (0.9999, 0.9999, 0.9977)
C (0.2533, 0.2533, 0.7231)
La (0.3950, 0.3950, 0.1947)

---

First-principles (PBE) data for an optimized crystal structure of LaPt3C, as listed in OQMD via LeMat-Bulk.

Properties
Symmetry: P4mm (99)

Cell: 4.0173 4.0173 5.1955 Å, 90.00 90.00 90.00°
Positions (direct):
Pt (0.0000, 0.0000, 0.1088)
Pt (0.0000, 0.5000, 0.5136)
Pt (0.5000, 0.0000, 0.5136)
La (0.5000, 0.5000, 0.9898)
C (0.0000, 0.0000, 0.7060)

---

First-principles (PBE) data for an optimized crystal structure of LaPt3C, as listed in OQMD via LeMat-Bulk.

Properties
Symmetry: Pm-3m (221)

Cell: 4.4057 4.4057 4.4057 Å, 90.00 90.00 90.00°
Positions (direct):
Pt (0.5000, 0.0000, 0.5000)
Pt (0.0000, 0.5000, 0.5000)
Pt (0.5000, 0.5000, 0.0000)
La (0.0000, 0.0000, 0.0000)
C (0.5000, 0.5000, 0.5000)

---

First-principles (PBE) data for an optimized crystal structure of La3Re2C10, as listed in OQMD via LeMat-Bulk.

Properties
Symmetry: C2/m (12)

Cell: 6.1264 6.1264 6.7647 Å, 109.79 109.79 100.07°
Positions (direct):
C (0.2841, 0.7355, 0.6037)
C (0.3576, 0.3576, 0.8808)
C (0.7315, 0.7315, 0.6154)
C (0.2281, 0.2281, 0.9509)
C (0.7159, 0.2645, 0.3963)
C (0.2645, 0.7159, 0.3963)
C (0.7719, 0.7719, 0.0491)
C (0.7355, 0.2841, 0.6037)
C (0.2685, 0.2685, 0.3846)
C (0.6424, 0.6424, 0.1192)
Re (0.5051, 0.5051, 0.3026)
Re (0.4949, 0.4949, 0.6974)
La (0.1961, 0.8039, 0.0000)
La (0.0000, 0.0000, 0.5000)
La (0.8039, 0.1961, 0.0000)

---

First-principles (PBE) data for an optimized crystal structure of La2ReC2, as listed in OQMD via LeMat-Bulk.

Properties
Symmetry: Pnma (62)

Cell: 6.7479 5.4684 10.4231 Å, 90.00 90.00 90.00°
Positions (direct):
C (0.5312, 0.2500, 0.2566)
C (0.0312, 0.2500, 0.2434)
C (0.3078, 0.7500, 0.0326)
C (0.8078, 0.7500, 0.4674)
C (0.9688, 0.7500, 0.7566)
C (0.6922, 0.2500, 0.9674)
C (0.1922, 0.2500, 0.5326)
C (0.4688, 0.7500, 0.7434)
La (0.0246, 0.7500, 0.2132)
La (0.1929, 0.7500, 0.5488)
La (0.5246, 0.7500, 0.2868)
La (0.8071, 0.2500, 0.4512)
La (0.4754, 0.2500, 0.7132)
La (0.3071, 0.2500, 0.0488)
La (0.9754, 0.2500, 0.7868)
La (0.6929, 0.7500, 0.9512)
Re (0.7697, 0.2500, 0.1451)
Re (0.2303, 0.7500, 0.8549)
Re (0.2697, 0.2500, 0.3549)
Re (0.7303, 0.7500, 0.6451)

---

First-principles (PBE) data for an optimized crystal structure of LaTbW2C3, as listed in OQMD via LeMat-Bulk.

Properties
Symmetry: Cm (8)

Cell: 6.3397 6.3397 5.8905 Å, 113.93 113.93 31.03°
Positions (direct):
Tb (0.6109, 0.6109, 0.8228)
C (0.0017, 0.0017, 0.9872)
C (0.2491, 0.2491, 0.7270)
C (0.7457, 0.7457, 0.2716)
La (0.3958, 0.3958, 0.1958)
W (0.1567, 0.1567, 0.3204)
W (0.8401, 0.8401, 0.6753)

---

Let's list calculated density in order: 8.38 7.17 12.71 9.31 9.29 7.79 9.90 14.58 14.30 7.11 8.43 10.52 g cm⁻³.
Let's list total energy in order: -8.40 -8.14 -9.10 -5.83 -6.13 -8.38 -9.21 -6.84 -6.68 -8.28 -8.38 -9.25 eV/atom.